The following is a DFT calculation (PBE+U) of crystalline PaV2TcO8 at its relaxed geometry.

a b c (Å): 4.722 4.722 6.497
angles (deg): 90.00 90.00 90.49
Fractional positions:
Pa1 0.000 0.000 0.000
V1 0.500 0.500 0.263
V2 0.500 0.500 0.737
Tc1 0.000 0.000 0.500
O1 0.202 0.798 0.271
O2 0.202 0.798 0.729
O3 0.298 0.298 0.500
O4 0.315 0.315 0.000
O5 0.685 0.685 0.000
O6 0.702 0.702 0.500
O7 0.798 0.202 0.271
O8 0.798 0.202 0.729

Calculated values
**E**: -8.480 eV per atom